Record 1
ZnInBr | the Alexandria database | PBE | relaxed; formation energy without anion corrections = -0.15 eV/atom; energy relative to the lowest polymorph listed for this composition = 128 meV per atom; ρ = 5.4 g cm⁻³; total magnetization = 0.000 μB per atom; DOS(E_F) = 0.65 states/eV/f.u.; DFT total energy = -6.12 eV for the cell shown; crystal system = orthorhombic
1.0
-5.297 1.509 3.943
-5.207 -2.116 3.252
1.083 0.384 3.508
In Br Zn
1 1 1
Direct
0.317 0.317 0.683
0.021 0.021 0.979
0.661 0.661 0.339

Record 2
Zn2In2Br | the Alexandria database | PBE | relaxed; formation energy without anion corrections = -0.05 eV/atom; energy relative to the lowest polymorph listed for this composition = 0 meV per atom; ρ = 5.9 g cm⁻³; total magnetization = 0.000 μB per atom; DOS(E_F) = 1.40 states/eV/f.u.; DFT total energy = -19.90 eV for the cell shown; crystal system = tetragonal
1.0
-3.756 6.340 -4.127
-7.391 -4.059 0.492
-0.658 1.563 3.000
Zn In Br
4 4 2
Direct
0.107 0.607 0.500
0.607 0.893 0.500
0.393 0.107 0.500
0.893 0.393 0.500
0.804 0.696 0.000
0.696 0.196 0.000
0.196 0.304 0.000
0.304 0.804 0.000
0.500 0.500 0.000
0.000 0.000 0.000

Record 3
ZnInBr2 | the Alexandria database | PBE | relaxed; formation energy without anion corrections = -0.43 eV/atom; energy relative to the lowest polymorph listed for this composition = 162 meV per atom; ρ = 4.8 g cm⁻³; total magnetization = 0.000 μB per atom; DOS(E_F) = 0.92 states/eV/f.u.; DFT total energy = -9.09 eV for the cell shown; crystal system = trigonal
1.0
-5.115 -6.348 5.938
-3.421 -8.757 3.651
-1.614 -7.428 6.629
In Br Zn
1 2 1
Direct
0.000 0.000 0.000
0.886 0.886 0.886
0.114 0.114 0.114
0.500 0.500 0.500

Record 4
ZnInBr2 | the Alexandria database | PBE | relaxed; formation energy without anion corrections = -0.59 eV/atom; energy relative to the lowest polymorph listed for this composition = 1 meV per atom; ρ = 4.1 g cm⁻³; total magnetization = 0.000 μB per atom; DOS(E_F) = 0.00 states/eV/f.u.; DFT total energy = -19.46 eV for the cell shown; crystal system = triclinic
1.0
5.465 -0.003 0.002
1.796 6.570 0.001
1.610 1.020 7.615
Zn Br In
2 4 2
Direct
0.310 0.441 0.561
0.690 0.559 0.439
0.891 0.739 0.619
0.749 0.793 0.144
0.109 0.261 0.381
0.251 0.207 0.856
0.624 0.262 0.111
0.376 0.738 0.889

Record 5
Zn3InBr | the Alexandria database | PBE | relaxed; formation energy without anion corrections = 0.15 eV/atom; energy relative to the lowest polymorph listed for this composition = 0 meV per atom; ρ = 4.6 g cm⁻³; total magnetization = 0.000 μB per atom; DOS(E_F) = 0.69 states/eV/f.u.; DFT total energy = -7.48 eV for the cell shown; crystal system = cubic
1.0
5.191 0.000 0.000
0.000 5.191 0.000
0.000 0.000 5.191
Br Zn In
1 3 1
Direct
0.500 0.500 0.500
0.000 0.500 0.000
0.500 0.000 0.000
0.000 0.000 0.500
0.000 0.000 0.000

Record 6
ZnInBr2 | the Alexandria database | PBE | relaxed; formation energy without anion corrections = -0.55 eV/atom; energy relative to the lowest polymorph listed for this composition = 48 meV per atom; ρ = 4.0 g cm⁻³; total magnetization = 0.000 μB per atom; DOS(E_F) = 0.00 states/eV/f.u.; DFT total energy = -19.08 eV for the cell shown; crystal system = triclinic
1.0
-5.450 -2.672 1.271
-1.501 -4.946 -3.686
1.160 -5.239 6.526
Br In Zn
4 2 2
Direct
0.478 0.027 0.925
0.964 0.372 0.666
0.379 0.710 0.499
0.038 0.683 0.093
0.928 0.314 0.027
0.841 0.872 0.539
0.361 0.110 0.440
0.628 0.077 0.162

Record 7
ZnInBr | the Alexandria database | PBE | relaxed; formation energy without anion corrections = -0.14 eV/atom; energy relative to the lowest polymorph listed for this composition = 138 meV per atom; ρ = 4.2 g cm⁻³; total magnetization = 0.000 μB per atom; DOS(E_F) = 0.18 states/eV/f.u.; DFT total energy = -6.10 eV for the cell shown; crystal system = cubic
1.0
-3.101 -3.994 -1.410
0.237 -1.910 -4.883
2.065 -4.748 -0.863
Zn In Br
1 1 1
Direct
0.000 0.000 0.000
0.750 0.750 0.750
0.500 0.500 0.500

Record 8
ZnInBr | the Alexandria database | PBE | relaxed; formation energy without anion corrections = -0.09 eV/atom; energy relative to the lowest polymorph listed for this composition = 181 meV per atom; ρ = 4.6 g cm⁻³; total magnetization = 0.000 μB per atom; DOS(E_F) = 0.13 states/eV/f.u.; DFT total energy = -5.96 eV for the cell shown; crystal system = cubic
1.0
-4.509 -0.654 -2.332
-1.375 -4.644 -1.656
-3.757 -2.550 2.362
In Br Zn
1 1 1
Direct
0.500 0.500 0.500
0.000 0.000 0.000
0.750 0.750 0.750

Record 9
ZnInBr | the Alexandria database | PBE | relaxed; formation energy without anion corrections = -0.16 eV/atom; energy relative to the lowest polymorph listed for this composition = 115 meV per atom; ρ = 5.3 g cm⁻³; total magnetization = 0.000 μB per atom; DOS(E_F) = 1.29 states/eV/f.u.; DFT total energy = -12.33 eV for the cell shown; crystal system = orthorhombic
1.0
-2.632 2.260 1.127
2.076 -1.712 2.378
9.318 10.971 -0.240
In Zn Br
2 2 2
Direct
0.669 0.338 0.355
0.669 0.338 0.645
0.558 0.115 0.000
0.329 0.657 0.500
0.221 0.443 0.116
0.221 0.443 0.884

Record 10
ZnInBr2 | the Alexandria database | PBE | relaxed; formation energy without anion corrections = -0.57 eV/atom; energy relative to the lowest polymorph listed for this composition = 21 meV per atom; ρ = 4.3 g cm⁻³; total magnetization = 0.000 μB per atom; DOS(E_F) = 0.00 states/eV/f.u.; DFT total energy = -19.30 eV for the cell shown; crystal system = triclinic
1.0
-5.050 -0.934 -1.571
-0.507 -4.303 -4.567
-0.557 -6.648 5.255
Br In Zn
4 2 2
Direct
0.329 0.619 0.962
0.983 0.252 0.695
0.953 0.334 0.247
0.289 0.718 0.469
0.582 0.133 0.096
0.806 0.773 0.776
0.374 0.076 0.471
0.654 0.290 0.472

Record 11
ZnInBr2 | the Alexandria database | PBE | relaxed; formation energy without anion corrections = -0.34 eV/atom; energy relative to the lowest polymorph listed for this composition = 250 meV per atom; ρ = 3.5 g cm⁻³; total magnetization = 0.000 μB per atom; DOS(E_F) = 0.33 states/eV/f.u.; DFT total energy = -17.47 eV for the cell shown; crystal system = tetragonal
1.0
6.608 0.000 0.000
0.000 6.608 0.000
3.304 3.304 7.385
Br Zn In
4 2 2
Direct
0.375 0.456 0.750
0.206 0.625 0.250
0.875 0.794 0.750
0.544 0.125 0.250
0.250 0.750 0.500
0.500 0.500 0.000
0.000 0.000 0.000
0.750 0.250 0.500

Record 12
ZnInBr | the Alexandria database | PBE | relaxed; formation energy without anion corrections = -0.25 eV/atom; energy relative to the lowest polymorph listed for this composition = 21 meV per atom; ρ = 5.3 g cm⁻³; total magnetization = 0.000 μB per atom; DOS(E_F) = 0.52 states/eV/f.u.; DFT total energy = -25.78 eV for the cell shown; crystal system = monoclinic
1.0
-2.931 -0.415 -6.938
8.396 -7.080 -3.124
-0.974 -2.802 3.731
Zn Br In
4 4 4
Direct
0.010 0.540 0.826
0.510 0.960 0.826
0.510 0.460 0.326
0.010 0.040 0.326
0.544 0.740 0.935
0.044 0.760 0.935
0.544 0.240 0.435
0.044 0.260 0.435
0.287 0.032 0.103
0.287 0.532 0.603
0.787 0.968 0.603
0.787 0.468 0.103

Record 13
ZnInBr | the Alexandria database | PBE | relaxed; formation energy without anion corrections = -0.24 eV/atom; energy relative to the lowest polymorph listed for this composition = 35 meV per atom; ρ = 5.0 g cm⁻³; total magnetization = 0.000 μB per atom; DOS(E_F) = 0.34 states/eV/f.u.; DFT total energy = -12.81 eV for the cell shown; crystal system = orthorhombic
1.0
-2.209 -2.295 2.067
3.152 -2.212 0.912
1.909 6.572 9.336
Zn Br In
2 2 2
Direct
0.500 0.500 0.955
0.500 0.000 0.455
0.500 0.500 0.174
0.500 0.000 0.674
0.000 0.500 0.379
0.000 0.000 0.879

Record 14
ZnInBr | the Alexandria database | PBE | relaxed; formation energy without anion corrections = -0.27 eV/atom; energy relative to the lowest polymorph listed for this composition = 0 meV per atom; ρ = 5.2 g cm⁻³; total magnetization = 0.000 μB per atom; DOS(E_F) = 0.43 states/eV/f.u.; DFT total energy = -26.03 eV for the cell shown; crystal system = monoclinic
1.0
12.717 0.000 0.118
0.000 5.436 0.000
-10.557 0.000 4.729
Br In Zn
4 4 4
Direct
0.668 0.259 0.560
0.168 0.241 0.560
0.168 0.741 0.060
0.668 0.759 0.060
0.590 0.644 0.751
0.090 0.856 0.751
0.590 0.144 0.251
0.090 0.356 0.251
0.083 0.372 0.681
0.083 0.872 0.181
0.583 0.128 0.681
0.583 0.628 0.181

Record 15
ZnInBr | the Alexandria database | PBE | relaxed; formation energy without anion corrections = -0.23 eV/atom; energy relative to the lowest polymorph listed for this composition = 44 meV per atom; ρ = 5.2 g cm⁻³; total magnetization = 0.000 μB per atom; DOS(E_F) = 0.40 states/eV/f.u.; DFT total energy = -6.38 eV for the cell shown; crystal system = orthorhombic
1.0
-1.771 -0.912 -3.263
0.497 -3.753 0.779
-4.972 -0.093 2.725
Zn In Br
1 1 1
Direct
0.000 0.500 0.446
0.500 0.000 0.241
0.500 0.500 0.805

Record 16
ZnInBr | the Alexandria database | PBE | relaxed; formation energy without anion corrections = -0.26 eV/atom; energy relative to the lowest polymorph listed for this composition = 14 meV per atom; ρ = 5.2 g cm⁻³; total magnetization = 0.000 μB per atom; DOS(E_F) = 0.72 states/eV/f.u.; DFT total energy = -12.93 eV for the cell shown; crystal system = triclinic
1.0
4.481 -0.015 -0.023
1.605 5.800 -0.027
0.510 0.187 6.393
Zn Br In
2 2 2
Direct
0.737 0.043 0.401
0.263 0.957 0.599
0.742 0.445 0.239
0.258 0.555 0.761
0.706 0.120 0.857
0.294 0.880 0.143

Record 17
ZrIn2Br6 | the Alexandria database | PBE | relaxed; formation energy without anion corrections = -1.10 eV/atom; ρ = 4.1 g cm⁻³; total magnetization = 0.000 μB per atom; DOS(E_F) = 0.00 states/eV/f.u.; DFT total energy = -67.84 eV for the cell shown; crystal system = monoclinic
1.0
7.454 0.000 0.227
0.000 8.558 0.000
-0.596 0.000 10.267
Br In Zr
12 4 2
Direct
0.597 0.474 0.250
0.331 0.765 0.051
0.297 0.837 0.456
0.831 0.735 0.551
0.903 0.974 0.250
0.203 0.337 0.044
0.403 0.526 0.750
0.169 0.265 0.449
0.669 0.235 0.949
0.097 0.026 0.750
0.703 0.163 0.544
0.797 0.663 0.956
0.015 0.605 0.238
0.515 0.895 0.738
0.985 0.395 0.762
0.485 0.105 0.262
0.500 0.500 0.000
0.000 0.000 0.500

Record 18
Zr3In2Br9 | the Alexandria database | PBE | relaxed; formation energy without anion corrections = -1.09 eV/atom; ρ = 4.4 g cm⁻³; total magnetization = 0.143 μB per atom; DOS(E_F) = 5.53 states/eV/f.u.; DFT total energy = -122.89 eV for the cell shown; crystal system = monoclinic
1.0
10.101 0.031 -2.247
-3.439 8.703 -4.911
0.031 0.020 10.568
Zr Br In
6 18 4
Direct
0.649 0.232 0.047
0.351 0.953 0.768
0.636 0.868 0.868
0.364 0.132 0.132
0.351 0.768 0.953
0.649 0.047 0.232
0.517 0.413 0.201
0.483 0.587 0.799
0.483 0.799 0.587
0.834 0.512 0.107
0.178 0.092 0.882
0.166 0.893 0.488
0.834 0.107 0.512
0.166 0.488 0.893
0.178 0.882 0.092
0.164 0.679 0.679
0.517 0.201 0.413
0.500 0.789 0.211
0.205 0.284 0.284
0.822 0.118 0.908
0.500 0.211 0.789
0.795 0.716 0.716
0.822 0.908 0.118
0.836 0.321 0.321
0.166 0.229 0.553
0.834 0.447 0.771
0.166 0.553 0.229
0.834 0.771 0.447

Record 19
Zr2In5Br12 | the Alexandria database | PBE | relaxed; formation energy without anion corrections = -0.96 eV/atom; ρ = 3.9 g cm⁻³; total magnetization = 0.000 μB per atom; DOS(E_F) = 3.14 states/eV/f.u.; DFT total energy = -69.11 eV for the cell shown; crystal system = monoclinic
1.0
7.801 0.000 0.000
-3.900 8.420 -3.388
0.000 1.050 10.761
Br Zr In
12 2 5
Direct
0.103 0.702 0.437
0.897 0.298 0.563
0.599 0.703 0.940
0.005 0.010 0.181
0.401 0.297 0.060
0.496 0.991 0.818
0.599 0.702 0.437
0.103 0.703 0.940
0.504 0.009 0.182
0.995 0.990 0.819
0.897 0.297 0.060
0.401 0.298 0.563
0.250 0.000 0.000
0.750 0.000 0.000
0.292 0.584 0.633
0.000 0.000 0.500
0.316 0.632 0.216
0.684 0.368 0.784
0.708 0.416 0.367

Record 20
ZrIn2Br | the Alexandria database | PBE | relaxed; formation energy without anion corrections = -0.07 eV/atom; energy relative to the lowest polymorph listed for this composition = 380 meV per atom; ρ = 6.6 g cm⁻³; total magnetization = 0.000 μB per atom; DOS(E_F) = 2.20 states/eV/f.u.; DFT total energy = -15.96 eV for the cell shown; crystal system = orthorhombic
1.0
3.435 0.001 0.000
-1.568 3.056 0.000
0.000 0.000 9.642
Br Zr In
1 1 2
Direct
0.500 0.500 0.750
0.500 0.500 0.250
0.000 0.000 0.003
0.000 0.000 0.497

Record 21
ZrIn2Br | the Alexandria database | PBE | relaxed; formation energy without anion corrections = -0.12 eV/atom; energy relative to the lowest polymorph listed for this composition = 330 meV per atom; ρ = 6.7 g cm⁻³; total magnetization = 0.000 μB per atom; DOS(E_F) = 2.64 states/eV/f.u.; DFT total energy = -16.16 eV for the cell shown; crystal system = tetragonal
1.0
3.396 0.000 0.000
0.000 3.396 0.000
0.000 0.000 8.629
Zr Br In
1 1 2
Direct
0.500 0.500 0.250
0.500 0.500 0.750
0.000 0.000 0.479
0.000 0.000 0.021

Record 22
ZrIn2Br | the Alexandria database | PBE | relaxed; formation energy without anion corrections = -0.17 eV/atom; energy relative to the lowest polymorph listed for this composition = 272 meV per atom; ρ = 6.9 g cm⁻³; total magnetization = 0.000 μB per atom; DOS(E_F) = 2.60 states/eV/f.u.; DFT total energy = -16.39 eV for the cell shown; crystal system = orthorhombic
1.0
7.372 0.008 0.025
-2.965 4.717 0.008
1.442 0.901 2.795
In Br Zr
2 1 1
Direct
0.000 0.000 0.000
0.500 0.000 0.500
0.500 0.500 0.000
0.000 0.500 0.500

Record 23
ZrIn2Br | the Alexandria database | PBE | relaxed; formation energy without anion corrections = -0.02 eV/atom; energy relative to the lowest polymorph listed for this composition = 428 meV per atom; ρ = 7.0 g cm⁻³; total magnetization = 0.000 μB per atom; DOS(E_F) = 3.40 states/eV/f.u.; DFT total energy = -15.77 eV for the cell shown; crystal system = tetragonal
1.0
6.014 -0.162 0.000
3.135 5.135 0.000
-4.575 -2.487 3.014
Br Zr In
1 1 2
Direct
0.750 0.250 0.500
0.250 0.750 0.500
0.500 0.500 0.000
0.000 0.000 0.000

Record 24
ZrIn4Br | the Alexandria database | PBE | relaxed; formation energy without anion corrections = 0.09 eV/atom; ρ = 6.9 g cm⁻³; total magnetization = 0.000 μB per atom; DOS(E_F) = 3.27 states/eV/f.u.; DFT total energy = -20.61 eV for the cell shown; crystal system = cubic
1.0
-4.945 3.010 1.525
-3.333 2.620 -4.227
-5.392 -2.216 -1.362
Zr In Br
1 4 1
Direct
0.750 0.750 0.750
0.874 0.375 0.375
0.375 0.375 0.375
0.375 0.375 0.874
0.375 0.874 0.375
0.000 0.000 0.000

Record 25
ZrIn2Br | the Alexandria database | PBE | relaxed; formation energy without anion corrections = 0.04 eV/atom; energy relative to the lowest polymorph listed for this composition = 485 meV per atom; ρ = 6.7 g cm⁻³; total magnetization = 0.000 μB per atom; DOS(E_F) = 3.07 states/eV/f.u.; DFT total energy = -15.54 eV for the cell shown; crystal system = tetragonal
1.0
6.007 0.029 0.000
2.780 5.325 0.000
-4.393 -2.677 3.101
Br Zr In
1 1 2
Direct
0.750 0.250 0.500
0.500 0.500 0.000
0.000 0.000 0.000
0.250 0.750 0.500